TlHg2Bi2Pb2: optimized geometry, PBE-GGA.

Computed properties:
- Formation energy: 0.077 eV/atom

Cell: 5.6900 5.6900 8.8650 Å, 90.00 90.00 120.00°
Space group P-3m1 (No. 164)
Symmetry-distinct sites (fractional):
Tl (0.0000, 0.0000, 0.0000) x1
Hg (0.0000, 0.0000, 0.3377) x2
Bi (0.3333, 0.6667, 0.7347) x2
Pb (0.3333, 0.6667, 0.3712) x2